[1]
Density functional theory data (PBE) for a geometry-optimized CeAsS4 structure.

Unit cell a=6.571 b=6.571 c=5.850 alpha=124.17 beta=124.17 gamma=90.00
Each line ends with the local moment (μB).
Fractional coordinates of all 6 atoms:
1 S 0.894 0.480 0.284  0.00
2 Ce 0.750 0.250 0.500  0.94
3 S 0.196 0.106 0.716  0.00
4 S 0.390 0.804 0.284  0.00
5 As 0.500 0.500 0.000  0.01
6 S 0.520 0.610 0.716  0.00

Values from the calculation:
- Symmetry: I-4
- Calculated density: 3.71 Mg/m³
- Uncorrected formation energy: -0.681 eV per atom


[2]
Density functional theory data (PBE) for a geometry-optimized Zn2InAu8 structure.

Unit cell a=4.125 b=6.684 c=7.783 alpha=107.63 beta=105.37 gamma=90.00
Fractional coordinates of all 11 atoms:
1 Zn 0.216 0.658 0.432
2 Au 0.959 0.274 0.919
3 Au 0.156 0.224 0.313
4 In 0.500 0.000 0.000
5 Au 0.322 0.076 0.644
6 Au 0.678 0.924 0.356
7 Zn 0.784 0.342 0.568
8 Au 0.397 0.537 0.795
9 Au 0.844 0.776 0.687
10 Au 0.041 0.726 0.081
11 Au 0.603 0.463 0.205

Values from the calculation:
- Symmetry: C2/m
- Formation energy from the elements: -0.133 eV per atom
- Calculated density: 15.40 Mg/m³


[3]
Density functional theory data (PBE) for a geometry-optimized Tm6Sc3Pb structure.

Unit cell a=5.054 b=9.903 c=11.731 alpha=90.00 beta=90.00 gamma=90.00
Fractional coordinates of all 20 atoms:
1 Tm 0.000 0.283 0.119
2 Tm 0.000 0.717 0.881
3 Tm 0.500 0.821 0.078
4 Tm 0.500 0.217 0.619
5 Tm 0.000 0.321 0.422
6 Pb 0.000 0.000 0.000
7 Tm 0.500 0.179 0.922
8 Tm 0.000 0.679 0.578
9 Tm 0.000 0.064 0.747
10 Sc 0.000 0.379 0.825
11 Tm 0.500 0.436 0.247
12 Tm 0.000 0.936 0.253
13 Sc 0.000 0.621 0.175
14 Tm 0.500 0.783 0.381
15 Sc 0.500 0.121 0.325
16 Sc 0.000 0.000 0.500
17 Sc 0.500 0.879 0.675
18 Sc 0.500 0.500 0.000
19 Pb 0.500 0.500 0.500
20 Tm 0.500 0.564 0.753

Values from the calculation:
- Symmetry: Pnnm
- Formation energy from the elements: 0.065 eV per atom
- Calculated density: 7.67 Mg/m³
- Polymorph energy (0 for the lowest one): 44.0 meV/atom


[4]
Density functional theory data (PBE) for a geometry-optimized NaPrEr structure.

Unit cell a=6.510 b=6.753 c=6.448 alpha=75.92 beta=59.68 gamma=61.18
Fractional coordinates of all 6 atoms:
1 Er 0.750 0.500 0.500
2 Na 0.134 0.733 0.000
3 Pr 0.674 0.000 0.653
4 Pr 0.326 0.000 0.347
5 Na 0.866 0.267 0.000
6 Er 0.250 0.500 0.500

Values from the calculation:
- Symmetry: Fmmm
- Formation energy from the elements: 0.409 eV per atom
- Calculated density: 5.13 Mg/m³
- Polymorph energy (0 for the lowest one): 280.7 meV/atom


[5]
Density functional theory data (PBE) for a geometry-optimized MnSiSnIrS structure.

Unit cell a=4.990 b=2.964 c=11.279 alpha=90.00 beta=97.42 gamma=90.00
Each line ends with the local moment (μB).
Fractional coordinates of all 10 atoms:
1 Ir 0.288 0.500 0.922  0.07
2 Si 0.352 0.500 0.595  -0.05
3 S 0.807 0.500 0.639  -0.04
4 S 0.807 0.000 0.139  -0.04
5 Sn 0.758 0.500 0.393  -0.02
6 Ir 0.288 0.000 0.422  0.07
7 Mn 0.107 0.500 0.222  2.29
8 Sn 0.758 0.000 0.893  -0.02
9 Si 0.352 0.000 0.095  -0.05
10 Mn 0.107 0.000 0.722  2.29

Values from the calculation:
- Symmetry: Cm
- Calculated density: 8.55 Mg/m³
- Uncorrected formation energy: -0.134 eV per atom
- Polymorph energy (0 for the lowest one): 225.2 meV/atom


[6]
Density functional theory data (PBE) for a geometry-optimized Zn6GaAu10 structure.

Unit cell a=5.523 b=7.789 c=7.789 alpha=120.00 beta=90.00 gamma=90.00
Fractional coordinates of all 17 atoms:
1 Au 0.199 0.000 0.725
2 Au 0.199 0.725 0.000
3 Zn 0.289 0.000 0.377
4 Zn 0.289 0.623 0.623
5 Au 0.000 0.667 0.333
6 Ga 0.500 0.000 0.000
7 Au 0.500 0.667 0.333
8 Au 0.500 0.333 0.667
9 Au 0.801 0.000 0.275
10 Au 0.000 0.333 0.667
11 Zn 0.289 0.377 0.000
12 Zn 0.711 0.623 0.000
13 Zn 0.711 0.000 0.623
14 Zn 0.711 0.377 0.377
15 Au 0.199 0.275 0.275
16 Au 0.801 0.725 0.725
17 Au 0.801 0.275 0.000

Values from the calculation:
- Symmetry: P-31m
- Formation energy from the elements: -0.158 eV per atom
- Calculated density: 13.92 Mg/m³


[7]
Density functional theory data (PBE) for a geometry-optimized KSn4Pb structure.

Unit cell a=5.482 b=5.482 c=7.190 alpha=90.00 beta=90.00 gamma=120.00
Fractional coordinates of all 6 atoms:
1 Sn 0.333 0.667 0.208
2 Sn 0.333 0.667 0.792
3 Pb 0.000 0.000 0.000
4 K 0.000 0.000 0.500
5 Sn 0.667 0.333 0.792
6 Sn 0.667 0.333 0.208

Values from the calculation:
- Symmetry: P6/mmm
- Formation energy from the elements: -0.083 eV per atom
- Calculated density: 6.40 Mg/m³
- Polymorph energy (0 for the lowest one): 0.0 meV/atom


[8]
Density functional theory data (PBE) for a geometry-optimized ZnAg2Ru structure.

Unit cell a=3.753 b=3.753 c=10.140 alpha=79.33 beta=79.33 gamma=90.00
Fractional coordinates of all 8 atoms:
1 Zn 0.500 0.500 0.000
2 Ru 0.000 0.000 0.000
3 Ag 0.375 0.376 0.750
4 Ag 0.126 0.625 0.250
5 Ag 0.875 0.874 0.750
6 Ru 0.750 0.250 0.500
7 Zn 0.250 0.750 0.500
8 Ag 0.624 0.125 0.250

Values from the calculation:
- Symmetry: I-42d
- Formation energy from the elements: 0.545 eV per atom
- Calculated density: 9.21 Mg/m³


[9]
Density functional theory data (PBE) for a geometry-optimized CdSb2Se structure.

Unit cell a=6.916 b=6.916 c=4.588 alpha=89.07 beta=89.07 gamma=31.48
Fractional coordinates of all 4 atoms:
1 Cd 0.272 0.272 0.363
2 Sb 0.717 0.717 0.859
3 Se 0.479 0.479 0.349
4 Sb 0.032 0.032 0.929

Values from the calculation:
- Symmetry: Cm
- Calculated density: 6.30 Mg/m³
- Uncorrected formation energy: -0.010 eV per atom
- Polymorph energy (0 for the lowest one): 149.7 meV/atom


[10]
Density functional theory data (PBE) for a geometry-optimized Pm3Sm2Ho6 structure.

Unit cell a=6.156 b=6.165 c=11.652 alpha=84.90 beta=79.75 gamma=60.05
Fractional coordinates of all 11 atoms:
1 Ho 0.583 0.333 0.251
2 Pm 0.664 0.671 0.000
3 Ho 0.250 0.000 0.251
4 Pm 0.000 0.000 0.000
5 Ho 0.750 0.000 0.749
6 Ho 0.084 0.333 0.749
7 Sm 0.834 0.333 0.500
8 Pm 0.336 0.329 0.000
9 Sm 0.166 0.667 0.500
10 Ho 0.417 0.667 0.749
11 Ho 0.916 0.667 0.251

Values from the calculation:
- Symmetry: C2/m
- Formation energy from the elements: 0.191 eV per atom
- Calculated density: 7.60 Mg/m³
- Polymorph energy (0 for the lowest one): 0.0 meV/atom


[11]
Density functional theory data (PBE) for a geometry-optimized Mg6Bi5Pb structure.

Unit cell a=4.302 b=9.321 c=9.088 alpha=109.25 beta=103.49 gamma=89.29
Fractional coordinates of all 12 atoms:
1 Mg 0.163 0.253 0.324
2 Mg 0.837 0.747 0.676
3 Bi 0.341 0.997 0.684
4 Mg 0.495 0.745 0.993
5 Bi 0.668 0.510 0.338
6 Bi 0.659 0.003 0.316
7 Bi 0.332 0.490 0.662
8 Pb 0.000 0.000 0.000
9 Mg 0.168 0.766 0.334
10 Bi 0.000 0.500 0.000
11 Mg 0.832 0.234 0.666
12 Mg 0.505 0.255 0.007

Values from the calculation:
- Symmetry: P-1
- Formation energy from the elements: -0.101 eV per atom
- Calculated density: 6.96 Mg/m³


[12]
Density functional theory data (PBE) for a geometry-optimized BeTlIn2 structure.

Unit cell a=5.147 b=5.147 c=5.147 alpha=60.00 beta=60.00 gamma=60.00
Fractional coordinates of all 4 atoms:
1 In 0.000 0.000 0.000
2 Tl 0.750 0.750 0.750
3 Be 0.500 0.500 0.500
4 In 0.250 0.250 0.250

Values from the calculation:
- Symmetry: F-43m
- Formation energy from the elements: 0.547 eV per atom
- Calculated density: 7.63 Mg/m³
- Polymorph energy (0 for the lowest one): 257.5 meV/atom